Density functional theory data (PBE) for a relaxed TlRhN2F crystal.

Cell: 4.2920 4.2920 4.3305 Å, 90.00 90.00 90.00°
Closest atoms and distances in Å follow each position.
Element x y z (fractional)
N: 0.0000 0.5000 0.0000  2 Tl 2.15
N: 0.5000 0.0000 0.0000  2 Tl 2.15
Tl: 0.0000 0.0000 0.0000  4 N 2.15, 2 F 2.17
Rh: 0.5000 0.5000 0.5000  4 F 3.03, 8 N 3.05
F: 0.0000 0.0000 0.5000  2 Tl 2.17

Values from the calculation:
spin magnetization	1.7	Bohr magnetons per cell
raw formation energy	165	kJ per mole of atoms
calculated density	7.38	g/cm³
energy above the most stable polymorph in this dataset	133.5	kJ per mole of atoms
crystal system	tetragonal
space-group type	P4/mmm